# 1
# La3HgH PBE optimized geometry
data_La3HgH
_chemical_formula_sum 'La12 Hg4 H4'
_cell_length_a 9.063
_cell_length_b 3.845
_cell_length_c 15.384
_cell_angle_alpha 90.00
_cell_angle_beta 90.00
_cell_angle_gamma 90.00
_space_group_name_H-M_alt 'P 1'
_space_group_IT_number 1
loop_
_space_group_symop_operation_xyz
'x,y,z'
loop_
_atom_site_label
_atom_site_type_symbol
_atom_site_fract_x
_atom_site_fract_y
_atom_site_fract_z
_atom_site_occupancy
La1 La 0.019 0.250 0.102 1
La2 La 0.167 0.250 0.510 1
La3 La 0.187 0.750 0.305 1
La4 La 0.313 0.250 0.805 1
La5 La 0.333 0.750 0.010 1
La6 La 0.481 0.750 0.602 1
La7 La 0.519 0.250 0.398 1
La8 La 0.667 0.250 0.990 1
La9 La 0.687 0.750 0.195 1
La10 La 0.813 0.250 0.695 1
La11 La 0.833 0.750 0.490 1
La12 La 0.981 0.750 0.898 1
Hg1 Hg 0.107 0.750 0.678 1
Hg2 Hg 0.393 0.250 0.178 1
Hg3 Hg 0.607 0.750 0.822 1
Hg4 Hg 0.893 0.250 0.322 1
H1 H 0.160 0.250 0.951 1
H2 H 0.340 0.750 0.451 1
H3 H 0.660 0.250 0.549 1
H4 H 0.840 0.750 0.049 1
# - Volume: 26.80 Å³ per atom
# - Total magnetization: 0.000 μB per atom
# - Electronic total energy: -80.84 eV for the cell shown
# - Space-group type: Pnma (62)
# - DOS at the Fermi energy: 19.36 states/eV/cell
# - ΔE to the lowest computed polymorph: 0.000 eV per atom

=====

# 2
# RbNbBiF2 PBE optimized geometry
data_RbNbBiF2
_chemical_formula_sum 'Rb1 Nb1 Bi1 F2'
_cell_length_a 4.663
_cell_length_b 4.663
_cell_length_c 6.434
_cell_angle_alpha 90.00
_cell_angle_beta 90.00
_cell_angle_gamma 90.00
_space_group_name_H-M_alt 'P 1'
_space_group_IT_number 1
loop_
_space_group_symop_operation_xyz
'x,y,z'
loop_
_atom_site_label
_atom_site_type_symbol
_atom_site_fract_x
_atom_site_fract_y
_atom_site_fract_z
_atom_site_occupancy
Rb1 Rb 0.000 0.000 0.000 1
Nb1 Nb 0.500 0.500 0.500 1
Bi1 Bi 0.000 0.000 0.500 1
F1 F 0.000 0.500 0.000 1
F2 F 0.500 0.000 0.000 1
# - Volume: 27.98 Å³ per atom
# - E_form (uncorrected): -58 kJ/mol of formula units
# - Total magnetization: 0.406 μB per atom
# - Electronic total energy: -19.26 eV for the cell shown
# - Space-group type: P4/mmm (123)
# - DOS at the Fermi energy: 6.31 states/eV/cell

=====

# 3
# CaB2Cl8 PBE optimized geometry
data_CaB2Cl8
_chemical_formula_sum 'Ca2 B4 Cl16'
_cell_length_a 9.887
_cell_length_b 9.887
_cell_length_c 9.360
_cell_angle_alpha 116.89
_cell_angle_beta 116.89
_cell_angle_gamma 57.44
_space_group_name_H-M_alt 'P 1'
_space_group_IT_number 1
loop_
_space_group_symop_operation_xyz
'x,y,z'
loop_
_atom_site_label
_atom_site_type_symbol
_atom_site_fract_x
_atom_site_fract_y
_atom_site_fract_z
_atom_site_occupancy
Ca1 Ca 0.026 0.974 0.750 1
Ca2 Ca 0.974 0.026 0.250 1
B1 B 0.141 0.666 0.934 1
B2 B 0.334 0.859 0.566 1
B3 B 0.666 0.141 0.434 1
B4 B 0.859 0.334 0.066 1
Cl1 Cl 0.050 0.264 0.008 1
Cl2 Cl 0.079 0.651 0.707 1
Cl3 Cl 0.154 0.788 0.445 1
Cl4 Cl 0.212 0.846 0.055 1
Cl5 Cl 0.264 0.050 0.508 1
Cl6 Cl 0.304 0.475 0.982 1
Cl7 Cl 0.349 0.921 0.793 1
Cl8 Cl 0.475 0.304 0.482 1
Cl9 Cl 0.525 0.696 0.518 1
Cl10 Cl 0.651 0.079 0.207 1
Cl11 Cl 0.696 0.525 0.018 1
Cl12 Cl 0.736 0.950 0.492 1
Cl13 Cl 0.788 0.154 0.945 1
Cl14 Cl 0.846 0.212 0.555 1
Cl15 Cl 0.921 0.349 0.293 1
Cl16 Cl 0.950 0.736 0.992 1
# - Volume: 30.04 Å³ per atom
# - E_form (uncorrected): -1401 kJ/mol of formula units
# - Total magnetization: 0.000 μB per atom
# - Electronic total energy: -89.29 eV for the cell shown
# - Space-group type: C2/c (15)
# - DOS at the Fermi energy: 0.00 states/eV/cell
# - ΔE to the lowest computed polymorph: 0.000 eV per atom

=====

# 4
# SbW2Cl PBE optimized geometry
data_SbW2Cl
_chemical_formula_sum 'Sb1 W2 Cl1'
_cell_length_a 8.795
_cell_length_b 8.795
_cell_length_c 8.795
_cell_angle_alpha 20.10
_cell_angle_beta 20.10
_cell_angle_gamma 20.10
_space_group_name_H-M_alt 'P 1'
_space_group_IT_number 1
loop_
_space_group_symop_operation_xyz
'x,y,z'
loop_
_atom_site_label
_atom_site_type_symbol
_atom_site_fract_x
_atom_site_fract_y
_atom_site_fract_z
_atom_site_occupancy
Sb1 Sb 0.000 0.000 0.000 1
W1 W 0.249 0.249 0.249 1
W2 W 0.751 0.751 0.751 1
Cl1 Cl 0.500 0.500 0.500 1
# - Volume: 17.58 Å³ per atom
# - E_form (uncorrected): 317 kJ/mol of formula units
# - Total magnetization: 0.000 μB per atom
# - Electronic total energy: -28.58 eV for the cell shown
# - Space-group type: R-3m (166)
# - DOS at the Fermi energy: 3.63 states/eV/cell
# - ΔE to the lowest computed polymorph: 0.777 eV per atom

=====

# 5
# ZnSe2Cl PBE optimized geometry
data_ZnSe2Cl
_chemical_formula_sum 'Zn1 Se2 Cl1'
_cell_length_a 3.998
_cell_length_b 3.998
_cell_length_c 9.007
_cell_angle_alpha 90.00
_cell_angle_beta 90.00
_cell_angle_gamma 129.48
_space_group_name_H-M_alt 'P 1'
_space_group_IT_number 1
loop_
_space_group_symop_operation_xyz
'x,y,z'
loop_
_atom_site_label
_atom_site_type_symbol
_atom_site_fract_x
_atom_site_fract_y
_atom_site_fract_z
_atom_site_occupancy
Zn1 Zn 0.000 0.000 0.000 1
Se1 Se 0.000 0.000 0.417 1
Se2 Se 0.500 0.500 0.213 1
Cl1 Cl 0.500 0.500 0.825 1
# - Volume: 27.79 Å³ per atom
# - E_form (uncorrected): -63 kJ/mol of formula units
# - Total magnetization: 0.000 μB per atom
# - Electronic total energy: -10.74 eV for the cell shown
# - Space-group type: Cmm2 (35)
# - DOS at the Fermi energy: 0.69 states/eV/cell
# - ΔE to the lowest computed polymorph: 0.217 eV per atom

=====

# 6
# BC5 PBE optimized geometry
data_BC5
_chemical_formula_sum 'B2 C10'
_cell_length_a 4.466
_cell_length_b 4.466
_cell_length_c 7.448
_cell_angle_alpha 114.66
_cell_angle_beta 114.66
_cell_angle_gamma 32.71
_space_group_name_H-M_alt 'P 1'
_space_group_IT_number 1
loop_
_space_group_symop_operation_xyz
'x,y,z'
loop_
_atom_site_label
_atom_site_type_symbol
_atom_site_fract_x
_atom_site_fract_y
_atom_site_fract_z
_atom_site_occupancy
B1 B 0.249 0.249 0.320 1
B2 B 0.751 0.751 0.680 1
C1 C 0.075 0.075 0.352 1
C2 C 0.085 0.085 0.856 1
C3 C 0.251 0.251 0.828 1
C4 C 0.418 0.418 0.021 1
C5 C 0.422 0.422 0.530 1
C6 C 0.578 0.578 0.470 1
C7 C 0.582 0.582 0.979 1
C8 C 0.749 0.749 0.172 1
C9 C 0.915 0.915 0.144 1
C10 C 0.925 0.925 0.648 1
# - Volume: 6.02 Å³ per atom
# - ΔH_f (0 K): 0.250 eV per atom
# - Total magnetization: 0.000 μB per atom
# - Electronic total energy: -102.60 eV for the cell shown
# - Space-group type: C2/m (12)
# - DOS at the Fermi energy: 1.50 states/eV/cell
# - ΔE to the lowest computed polymorph: 0.041 eV per atom

=====

# 7
# Tl3Ag2TeSe6 PBE optimized geometry
data_Tl3Ag2TeSe6
_chemical_formula_sum 'Tl3 Ag2 Te1 Se6'
_cell_length_a 7.218
_cell_length_b 7.218
_cell_length_c 7.225
_cell_angle_alpha 99.40
_cell_angle_beta 99.40
_cell_angle_gamma 120.18
_space_group_name_H-M_alt 'P 1'
_space_group_IT_number 1
loop_
_space_group_symop_operation_xyz
'x,y,z'
loop_
_atom_site_label
_atom_site_type_symbol
_atom_site_fract_x
_atom_site_fract_y
_atom_site_fract_z
_atom_site_occupancy
Tl1 Tl 0.000 0.000 0.000 1
Tl2 Tl 0.335 0.665 0.000 1
Tl3 Tl 0.665 0.335 0.000 1
Ag1 Ag 0.167 0.833 0.500 1
Ag2 Ag 0.833 0.167 0.500 1
Te1 Te 0.500 0.500 0.500 1
Se1 Se 0.089 0.423 0.281 1
Se2 Se 0.239 0.239 0.725 1
Se3 Se 0.423 0.089 0.281 1
Se4 Se 0.577 0.911 0.719 1
Se5 Se 0.761 0.761 0.275 1
Se6 Se 0.911 0.577 0.719 1
# - Volume: 25.62 Å³ per atom
# - E_form (uncorrected): -187 kJ/mol of formula units
# - Total magnetization: 0.000 μB per atom
# - Electronic total energy: -38.79 eV for the cell shown
# - Space-group type: C2/m (12)
# - DOS at the Fermi energy: 4.99 states/eV/cell

=====

# 8
# TlZn2Cl PBE optimized geometry
data_TlZn2Cl
_chemical_formula_sum 'Tl1 Zn2 Cl1'
_cell_length_a 5.884
_cell_length_b 5.884
_cell_length_c 5.884
_cell_angle_alpha 146.49
_cell_angle_beta 121.02
_cell_angle_gamma 69.57
_space_group_name_H-M_alt 'P 1'
_space_group_IT_number 1
loop_
_space_group_symop_operation_xyz
'x,y,z'
loop_
_atom_site_label
_atom_site_type_symbol
_atom_site_fract_x
_atom_site_fract_y
_atom_site_fract_z
_atom_site_occupancy
Tl1 Tl 0.000 0.000 0.000 1
Zn1 Zn 0.273 0.773 0.500 1
Zn2 Zn 0.484 0.484 0.000 1
Cl1 Cl 0.678 0.178 0.500 1
# - Volume: 23.74 Å³ per atom
# - E_form (uncorrected): -41 kJ/mol of formula units
# - Total magnetization: 0.000 μB per atom
# - Electronic total energy: -7.18 eV for the cell shown
# - Space-group type: Imm2 (44)
# - DOS at the Fermi energy: 2.47 states/eV/cell
# - ΔE to the lowest computed polymorph: 0.128 eV per atom